Entry 1:
Entry from the Alexandria database: a relaxed Na2BeVF6 crystal (GGA+U).

The structure belongs to space group P4mm (No. 99); the cell edges are 5.323, 5.323 and 4.259 Å and the angles 90.00°, 90.00° and 90.00°. The inequivalent atoms are Na at (0.000, 0.500, 0.000), Be at (0.000, 0.000, 0.532), V at (0.500, 0.500, 0.586), F at (0.000, 0.000, 0.169), F at (0.225, 0.225, 0.628) and F at (0.500, 0.500, 0.090).

For the density, the calculation gives 3.03 g/cm³. The crystal system is tetragonal. For the total energy, the calculation gives -52.87 eV per cell.

Entry 2:
Entry from the Alexandria database: a relaxed NaBe2VF8 crystal (GGA+U).

The structure belongs to space group R-3 (No. 148, hexagonal axes); the cell edges are 4.7839, 4.7839 and 22.0651 Å and the angles 90.00°, 90.00° and 120.00°. The inequivalent atoms are Na at (0.0000, 0.0000, 0.0000), Be at (0.0000, 0.0000, 0.2472), V at (0.0000, 0.0000, 0.5000), F at (0.0000, 0.0000, 0.3145) and F at (0.0145, 0.6446, 0.8870).

For the density, the calculation gives 2.78 g/cm³. The crystal system is trigonal. For the total energy, the calculation gives -202.09 eV per cell.

Number 1 is which compound? Na2BeVF6